ScHg2Mo after structural relaxation, computed with PBE.

Unit cell a=4.871 b=3.084 c=5.171 alpha=89.94 beta=90.00 gamma=90.00
Atoms (fractional coordinates):
Mo 0.000 0.623 0.460
Hg 0.000 0.125 0.956
Hg 0.500 0.126 0.301
Sc 0.500 0.626 0.783

Properties
electronic total energy	-17.00	eV/cell
size of the total moment	0.00	μB per formula unit
energy of formation	0.192	eV/atom
SG	No. 6